Entry 1:
VASP calculation (PBE) on AlMo2As after structural relaxation.

Cell and atoms, written as extended XYZ:
```
4
Lattice="8.587 0.008 0.005 8.057 2.972 0.005 8.057 1.442 2.598" Properties=species:S:1:pos:R:3 pbc="T T T"
Mo 0.004 0.001 0.000
Mo 6.229 1.115 0.658
As 18.376 3.290 1.940
Al 12.443 2.228 1.314
```

Summary:
Symmetry: R3m (160)
N(E_F): 0.42 states/eV per atom
Calculated formation energy: 0.02 eV per atom
Mass density: 7389 kg/m3
Magnetic moment: 0.000 μB per formula unit
Energy: -7.493 eV/atom

---

Entry 2:
VASP calculation (PBE) on CeYNi17 after structural relaxation.

Cell and atoms, written as extended XYZ:
```
19
Lattice="-2.705 -5.189 -2.218 4.383 -4.028 1.931 -2.829 -1.714 5.313" Properties=species:S:1:pos:R:3 pbc="T T T"
Ce -0.391 -3.708 1.705
Y -0.761 -7.229 3.323
Ni -2.787 -2.733 3.100
Ni -0.626 -4.844 -0.996
Ni 2.262 -3.348 2.919
Ni 2.299 -4.365 0.715
Ni -0.713 -2.393 4.314
Ni -2.736 -4.167 -0.007
Ni 1.801 -5.798 2.705
Ni -1.817 -4.637 4.402
Ni -1.755 -6.381 0.624
Ni -2.939 -5.138 2.323
Ni 0.658 -6.292 0.636
Ni 0.597 -4.558 4.392
Ni -3.329 -8.909 4.057
Ni 0.258 -10.061 2.375
Ni 0.196 -8.332 6.121
Ni -1.038 -9.858 4.532
Ni -0.116 -1.098 0.505
```

Summary:
Symmetry: R3m (160)
N(E_F): 1.35 states/eV per atom
Calculated formation energy: -0.19 eV per atom
Mass density: 8486 kg/m3
Magnetic moment: 6.217 μB per formula unit
Energy: -6.020 eV/atom

---

Entry 3:
VASP calculation (PBE) on NaNi2H4 after structural relaxation.

Cell and atoms, written as extended XYZ:
```
14
Lattice="-0.314 2.597 -4.745 0.945 -4.677 -2.567 -4.075 0.349 3.521" Properties=species:S:1:pos:R:3 pbc="T T T"
Na -1.407 -2.685 -1.351
Na 0.945 -4.676 -2.568
Ni -2.898 0.131 -1.288
Ni -0.388 -2.382 -4.332
Ni -0.860 -0.044 -3.048
Ni -2.741 -1.167 1.085
H -1.372 1.573 -3.328
H -0.349 -1.660 -2.769
H -2.576 -0.069 -2.972
H -2.938 1.710 -1.965
H -1.260 0.600 -1.497
H -3.219 0.331 0.396
H -2.857 -1.448 -0.611
H -0.461 -0.687 -4.599
```

Summary:
Symmetry: C2/c (15)
N(E_F): 0.17 states/eV per atom
Mass density: 4272 kg/m3
Magnetic moment: 0.000 μB per formula unit
Energy: -3.863 eV/atom

---

Entry 4:
VASP calculation (PBE) on LiY2Si after structural relaxation.

Cell and atoms, written as extended XYZ:
```
4
Lattice="-5.490 1.898 -4.881 -7.395 -0.165 -1.691 -6.365 3.935 -1.255" Properties=species:S:1:pos:R:3 pbc="T T T"
Li -4.813 1.417 -1.957
Si -14.438 4.252 -5.870
Y -0.323 0.095 -0.132
Y -9.302 2.739 -3.782
```

Summary:
Symmetry: R-3m (166)
N(E_F): 1.11 states/eV per atom
E_form (uncorrected): -0.170 eV per atom
Mass density: 3146 kg/m3
Magnetic moment: 0.000 μB per formula unit
Energy: -5.236 eV/atom

---

Entry 5:
VASP calculation (PBE) on In2C2Br after structural relaxation.

Cell and atoms, written as extended XYZ:
```
10
Lattice="-0.928 -3.517 -6.178 -5.290 -3.820 2.969 -2.364 2.462 -1.046" Properties=species:S:1:pos:R:3 pbc="T T T"
C -4.410 -3.992 0.574
C -4.516 -5.492 -2.716
C -1.808 -3.344 -3.783
C -1.702 -1.844 -0.493
Br 0.000 0.000 0.000
Br -3.109 -3.668 -1.604
In -4.708 -1.718 0.507
In -6.319 -4.304 -1.938
In -3.875 -3.157 -4.762
In -2.264 -0.570 -2.317
```

Summary:
Symmetry: P4/mbm (127)
N(E_F): 0.51 states/eV per atom
E_form (uncorrected): 1.683 eV per atom
Mass density: 6038 kg/m3
Magnetic moment: 0.000 μB per formula unit
Energy: -3.436 eV/atom

---

Entry 6:
VASP calculation (PBE) on TeMo2 after structural relaxation.

Cell and atoms, written as extended XYZ:
```
6
Lattice="-1.857 1.790 3.988 -1.192 -1.336 4.399 7.728 2.374 5.554" Properties=species:S:1:pos:R:3 pbc="T T T"
Te 0.351 1.068 7.556
Te 4.328 1.760 6.385
Mo 3.523 2.428 12.768
Mo -0.496 0.319 3.230
Mo 5.175 2.509 10.712
Mo 1.156 0.400 1.174
```

Summary:
Symmetry: C2/m (12)
N(E_F): 0.57 states/eV per atom
E_form (uncorrected): 0.159 eV per atom
Mass density: 7812 kg/m3
Magnetic moment: 0.000 μB per formula unit
Energy: -8.109 eV/atom

---

Entry 7:
VASP calculation (PBE) on SrMgAs after structural relaxation.

Cell and atoms, written as extended XYZ:
```
3
Lattice="4.985 0.000 0.000 2.492 4.317 0.000 2.492 1.439 4.070" Properties=species:S:1:pos:R:3 pbc="T T T"
As 7.477 4.317 3.053
Mg 0.000 0.000 0.000
Sr 4.985 2.878 2.035
```

Summary:
Symmetry: F-43m (216)
N(E_F): 0.63 states/eV per atom
Calculated formation energy: -0.55 eV per atom
Mass density: 3542 kg/m3
Magnetic moment: 0.000 μB per formula unit
Energy: -3.194 eV/atom

---

Entry 8:
VASP calculation (PBE) on RuBrCl after structural relaxation.

Cell and atoms, written as extended XYZ:
```
3
Lattice="-5.580 1.614 4.452 -6.985 -1.586 1.502 6.965 -1.648 -1.530" Properties=species:S:1:pos:R:3 pbc="T T T"
Ru -8.421 0.018 3.990
Br -0.608 0.001 0.288
Cl -3.537 0.008 1.676
```

Summary:
Symmetry: I4mm (107)
N(E_F): 1.09 states/eV per atom
E_form (uncorrected): 0.379 eV per atom
Mass density: 4942 kg/m3
Magnetic moment: 3.407 μB per formula unit
Energy: -3.886 eV/atom